Computed, not measured: a relaxed V2CrSbF crystal at the PBE+U level of DFT.

Calculated values
theoretical density	4.9	Mg/m³
density of states at the Fermi level	0.302	states/eV/atom
space-group type	No. 123
raw total energy	-4.959	eV/atom

Cell lengths 5.144, 3.804, 5.144 Å; angles 90.00, 90.00, 90.00 degrees
Atoms (fractional coordinates):
V 0.500 0.000 0.000
V 0.000 0.000 0.500
Sb 0.500 0.500 0.500
F 0.000 0.500 0.000
Cr 0.000 0.000 0.000